Record 1
# PBE-GGA TiSi2Te, optimized geometry
# volume: 27.4 Å³/atom
# formation energy without anion corrections: 2.16 eV/f.u.
data_TiSi2Te
_cell_length_a 6.0636
_cell_length_b 6.0636
_cell_length_c 11.9229
_cell_angle_alpha 90.00
_cell_angle_beta 90.00
_cell_angle_gamma 90.00
_space_group_name_H-M_alt 'I -4 2 d'
_space_group_IT_number 122
_space_group_name_Hall 'I -4 2bw'
loop_
_atom_site_label
_atom_site_fract_x
_atom_site_fract_y
_atom_site_fract_z
Ti1 0.0000 0.0000 0.0000
Si1 0.2233 0.2500 0.1250
Te1 0.0000 0.0000 0.5000

Record 2
# PBE-GGA Ti2SiTe, optimized geometry
# volume: 17.7 Å³/atom
# energy above the lowest structure with this stoichiometry: 0.0 meV/atom
# formation energy without anion corrections: -0.83 eV/f.u.
data_Ti2SiTe
_cell_length_a 6.5686
_cell_length_b 6.5686
_cell_length_c 6.5686
_cell_angle_alpha 90.00
_cell_angle_beta 90.00
_cell_angle_gamma 90.00
_space_group_name_H-M_alt 'F m -3 m'
_space_group_IT_number 225
_space_group_name_Hall '-F 4 2 3'
loop_
_atom_site_label
_atom_site_fract_x
_atom_site_fract_y
_atom_site_fract_z
Ti1 0.2500 0.2500 0.2500
Si1 0.0000 0.0000 0.0000
Te1 0.0000 0.0000 0.5000

Record 3
# PBE-GGA TiSiTe2, optimized geometry
# volume: 26.4 Å³/atom
# formation energy without anion corrections: -0.12 eV/f.u.
data_TiSiTe2
_cell_length_a 3.6156
_cell_length_b 3.6156
_cell_length_c 28.0260
_cell_angle_alpha 90.00
_cell_angle_beta 90.00
_cell_angle_gamma 120.00
_space_group_name_H-M_alt 'R -3 m'
_space_group_IT_number 166
_space_group_name_Hall '-R 3 2"'
loop_
_atom_site_label
_atom_site_fract_x
_atom_site_fract_y
_atom_site_fract_z
Ti1 0.0000 0.0000 0.0000
Si1 0.0000 0.0000 0.5000
Te1 0.0000 0.0000 0.3971

Record 4
# PBE-GGA ZrTi2SiTe, optimized geometry
# volume: 21.7 Å³/atom
# energy above the lowest structure with this stoichiometry: 0.0 meV/atom
# formation energy without anion corrections: 0.41 eV/f.u.
data_ZrTi2SiTe
_cell_length_a 4.6315
_cell_length_b 4.6315
_cell_length_c 5.0664
_cell_angle_alpha 90.00
_cell_angle_beta 90.00
_cell_angle_gamma 90.00
_space_group_name_H-M_alt 'P 4/m m m'
_space_group_IT_number 123
_space_group_name_Hall '-P 4 2'
loop_
_atom_site_label
_atom_site_fract_x
_atom_site_fract_y
_atom_site_fract_z
Zr1 0.0000 0.0000 0.0000
Ti1 0.0000 0.5000 0.5000
Si1 0.0000 0.0000 0.5000
Te1 0.5000 0.5000 0.0000

- What is the formation energy without anion corrections in the first record?
  2.16 eV/f.u.

- What is the volume in the first record?
  27.4 Å³/atom